[1]
Zr2FeP2: optimized geometry, PBE.

abc: 6.005 6.005 4.194
angles: 90.00 90.00 90.00
Space group P4/mbm (No. 127)
Asymmetric unit:
Zr  0.170  0.330  0.000 (multiplicity 4)
Fe  0.000  0.000  0.500 (multiplicity 2)
P  0.139  0.639  0.500 (multiplicity 4)

Summary:
raw total energy = -81.82 eV/cell
energy of formation = -4.5 eV per formula unit
density = 6.59 Mg/m³

[2]
MnCuMo2: optimized geometry, PBE.

abc: 2.608 3.989 5.489
angles: 90.00 90.00 90.00
Space group Pmm2 (No. 25)
Asymmetric unit:
Mn  0.000  0.000  0.000 (multiplicity 1)
Cu  0.500  0.500  0.772 (multiplicity 1)
Mo  0.000  0.000  0.526 (multiplicity 1)
Mo  0.500  0.500  0.256 (multiplicity 1)

Summary:
energy relative to the lowest polymorph listed for this composition = 92 meV/atom
raw total energy = -33.81 eV/cell
energy of formation = 1.1 eV per formula unit
density = 9.02 Mg/m³

[3]
Dy2Be7Pt12: optimized geometry, PBE.

abc: 9.5198 9.5198 3.8183
angles: 90.00 90.00 120.00
Space group P-6 (No. 174)
Asymmetric unit:
Dy  0.0000  0.0000  0.0000 (multiplicity 1)
Dy  0.3333  0.6667  0.5000 (multiplicity 1)
Be  0.0655  0.6216  0.0000 (multiplicity 3)
Be  0.2717  0.0450  0.5000 (multiplicity 3)
Be  0.6667  0.3333  0.0000 (multiplicity 1)
Pt  0.0515  0.7796  0.5000 (multiplicity 3)
Pt  0.1114  0.4027  0.0000 (multiplicity 3)
Pt  0.3933  0.2124  0.0000 (multiplicity 3)
Pt  0.5347  0.0945  0.5000 (multiplicity 3)

Summary:
raw total energy = -124.63 eV/cell
energy of formation = -16.8 eV per formula unit
density = 15.12 Mg/m³